A relaxed Ca2CdAu2 crystal, computed with PBE.

Cell lengths 3.9622, 3.9622, 8.9293 Å; angles 77.18, 77.18, 90.00 degrees
Element x y z (fractional)
Ca  0.3871  0.3871  0.2258
Ca  0.6129  0.6129  0.7742
Au  0.7500  0.2500  0.5000
Au  0.2500  0.7500  0.5000
Cd  0.0000  0.0000  0.0000

=====

A relaxed Ca2Cd2Au15 crystal, computed with PBE.

Cell lengths 7.3657, 7.3657, 7.3657 Å; angles 82.27, 82.27, 82.27 degrees
Element x y z (fractional)
Ca  0.3524  0.3524  0.3524
Ca  0.6476  0.6476  0.6476
Cd  0.1020  0.1020  0.1020
Cd  0.8980  0.8980  0.8980
Au  0.5000  0.0000  0.0000
Au  0.0000  0.0000  0.5000
Au  0.0000  0.5000  0.0000
Au  0.0000  0.6875  0.3125
Au  0.6875  0.3125  0.0000
Au  0.3125  0.0000  0.6875
Au  0.3125  0.6875  0.0000
Au  0.6875  0.0000  0.3125
Au  0.0000  0.3125  0.6875
Au  0.1613  0.6511  0.6511
Au  0.6511  0.6511  0.1613
Au  0.6511  0.1613  0.6511
Au  0.8387  0.3489  0.3489
Au  0.3489  0.3489  0.8387
Au  0.3489  0.8387  0.3489

=====

Quick rundown of calculated formation energy, same order as above: -2.229; -5.351 eV/f.u.
Quick rundown of D(E_F), same order as above: 2.94; 5.20 states/eV per cell
Quick rundown of total magnetization, same order as above: 0.000; 0.000 μB per atom